First-principles (GGA-PBE) data for a relaxed BaLa2Co crystal, as listed in the Alexandria database.

polymorph energy (0 for the lowest one): 672 meV/atom
raw total energy: -4.12 eV per atom
size of the total moment: 0.27 μB per atom

Geometry as POSCAR:
```
BaLa2Co
1.0
3.357 -5.867 0.000
3.357 5.867 0.000
-1.837 0.000 3.252
Ba La Co
1 2 1
Cartesian
0.000 0.000 0.000
0.760 2.933 1.626
0.760 -2.933 1.626
3.357 0.000 0.000
```

---

First-principles (GGA-PBE) data for a relaxed Ac2Pd2Pb3 crystal, as listed in the Alexandria database.

polymorph energy (0 for the lowest one): 0 meV/atom
raw total energy: -4.80 eV per atom
size of the total moment: 0.00 μB per atom

Geometry as POSCAR:
```
Ac2Pd2Pb3
1.0
5.406 -2.324 0.000
5.406 2.324 0.000
-2.925 0.000 7.894
Ac Pd Pb
2 2 3
Cartesian
0.668 0.000 2.374
7.219 0.000 5.521
-0.387 0.000 5.757
8.274 0.000 2.137
3.844 0.000 0.454
3.943 0.000 3.947
4.042 0.000 7.440
```

---

First-principles (GGA-PBE) data for a relaxed Cr2GaHPt crystal, as listed in the Alexandria database.

raw total energy: -6.36 eV per atom
size of the total moment: 0.11 μB per atom

Geometry as POSCAR:
```
Cr2GaHPt
1.0
3.640 0.000 0.000
0.000 3.640 0.000
0.000 0.000 4.231
Cr Ga H Pt
2 1 1 1
Cartesian
0.000 1.820 0.000
1.820 0.000 0.000
0.000 0.000 2.115
1.820 1.820 0.000
1.820 1.820 2.115
```